# Rb3LiCr2F9

Rb3LiCr2F9 after structural relaxation (PBE with a Hubbard U, the Alexandria database).

Structure (POSCAR):
```
Rb3LiCr2F9
1.0
-0.592 1.114 -5.784
0.661 -5.571 1.888
-7.219 -0.649 0.614
Rb F Li Cr
3 9 1 2
Direct
0.667 0.333 0.348
0.000 0.000 0.000
0.333 0.667 0.652
0.000 0.500 0.000
0.500 0.500 0.000
0.172 0.343 0.322
0.172 0.828 0.322
0.500 0.000 0.000
0.828 0.172 0.678
0.828 0.657 0.678
0.343 0.172 0.678
0.657 0.828 0.322
0.000 0.000 0.500
0.667 0.333 0.833
0.333 0.667 0.167
```

- Total moment: 7.0 Bohr magnetons per cell
- Final energy: -78.11 eV per cell

---

# RbLiCrF6

RbLiCrF6 after structural relaxation (PBE with a Hubbard U, the Alexandria database).

Structure (POSCAR):
```
RbLiCrF6
1.0
-4.020 2.125 -2.703
3.151 -3.565 -2.312
-7.285 -8.917 3.821
Cr F Li Rb
2 12 2 2
Direct
0.667 0.333 0.250
0.333 0.667 0.750
0.395 0.028 0.162
0.367 0.395 0.838
0.633 0.028 0.338
0.605 0.633 0.662
0.028 0.395 0.662
0.605 0.972 0.838
0.633 0.605 0.162
0.367 0.972 0.662
0.028 0.633 0.838
0.395 0.367 0.338
0.972 0.367 0.162
0.972 0.605 0.338
0.333 0.667 0.250
0.667 0.333 0.750
0.000 0.000 0.500
0.000 0.000 0.000
```

- Total moment: 4.0 Bohr magnetons per cell
- Final energy: -90.70 eV per cell

---

# RbLi2CrF8

RbLi2CrF8 after structural relaxation (PBE with a Hubbard U, the Alexandria database).

Structure (POSCAR):
```
RbLi2CrF8
1.0
-3.366 2.996 2.050
-3.906 -0.243 -3.007
-4.258 -5.201 3.790
Li Rb F Cr
2 1 8 1
Direct
0.433 0.431 0.791
0.567 0.569 0.209
0.000 0.000 0.500
0.812 0.249 0.822
0.188 0.751 0.178
0.377 0.373 0.560
0.248 0.811 0.822
0.236 0.235 0.988
0.623 0.627 0.440
0.764 0.765 0.012
0.752 0.189 0.178
0.000 0.000 0.000
```

- Total moment: 3.0 Bohr magnetons per cell
- Final energy: -56.91 eV per cell

---

# LiCr2ReF

LiCr2ReF after structural relaxation (PBE with a Hubbard U, the Alexandria database).

Structure (POSCAR):
```
LiCr2ReF
1.0
-2.875 -3.634 -0.831
0.102 -0.809 3.187
-3.725 2.759 0.820
Cr Re F Li
2 1 1 1
Direct
0.500 0.000 0.000
0.000 0.000 0.500
0.500 0.500 0.500
0.000 0.000 0.000
0.000 0.500 0.000
```

- Total moment: 6.3 Bohr magnetons per cell
- Final energy: -31.26 eV per cell

---

Number 3 is which compound?
RbLi2CrF8

---

The lowest final energy belongs to which entry?
RbLiCrF6

---

Which formula does entry 3 have?
RbLi2CrF8